w:
ScCrAg | Alexandria via LeMat-Bulk | PBE | relaxed; total magnetization = 1.31 μB per atom; Fermi-level density of states = 3.15 states/eV/f.u.; volume = 66.7 Å³/f.u.
1.0
6.437 0.000 0.000
0.000 6.437 0.000
0.000 0.000 6.437
Sc Cr Ag
4 4 4
Direct
0.000 0.000 0.000 Sc
0.000 0.500 0.500 Sc
0.500 0.000 0.500 Sc
0.500 0.500 0.000 Sc
0.000 0.000 0.500 Cr
0.000 0.500 0.000 Cr
0.500 0.000 0.000 Cr
0.500 0.500 0.500 Cr
0.250 0.250 0.750 Ag
0.250 0.750 0.250 Ag
0.750 0.250 0.250 Ag
0.750 0.750 0.750 Ag

x:
ScCrAg | Alexandria via LeMat-Bulk | PBE | relaxed; total magnetization = 1.37 μB per atom; Fermi-level density of states = 2.82 states/eV/f.u.; volume = 66.5 Å³/f.u.
1.0
6.432 0.000 0.000
0.000 6.432 0.000
0.000 0.000 6.432
Sc Cr Ag
4 4 4
Direct
0.000 0.000 0.000 Sc
0.000 0.500 0.500 Sc
0.500 0.000 0.500 Sc
0.500 0.500 0.000 Sc
0.250 0.250 0.750 Cr
0.250 0.750 0.250 Cr
0.750 0.250 0.250 Cr
0.750 0.750 0.750 Cr
0.250 0.250 0.250 Ag
0.250 0.750 0.750 Ag
0.750 0.250 0.750 Ag
0.750 0.750 0.250 Ag

Referenced to the most stable arrangement, the calculated values in kJ/mol of atoms are w 0.0; x 22.5.

w:
ScCrAg | Alexandria via LeMat-Bulk | PBE | relaxed; total magnetization = 1.28 μB per atom; Fermi-level density of states = 2.25 states/eV/f.u.; volume = 55.9 Å³/f.u.
1.0
3.446 0.000 0.000
0.000 3.446 0.000
0.000 0.000 9.420
Sc Cr Ag
2 2 2
Direct
0.000 0.000 0.000 Sc
0.500 0.500 0.500 Sc
0.000 0.000 0.337 Cr
0.500 0.500 0.837 Cr
0.000 0.000 0.675 Ag
0.500 0.500 0.175 Ag

x:
ScCrAg | Alexandria via LeMat-Bulk | PBE | relaxed; total magnetization = 1.24 μB per atom; Fermi-level density of states = 1.88 states/eV/f.u.; volume = 56.2 Å³/f.u.
1.0
4.643 0.000 0.000
-2.321 4.021 0.000
0.000 0.000 3.011
Sc Cr Ag
1 1 1
Direct
0.000 0.000 0.000 Sc
0.333 0.667 0.624 Cr
0.667 0.333 0.379 Ag

Referenced to the most stable arrangement, the calculated values in kJ/mol of atoms are w 0.0; x 4.6.

w:
CrAgSe4 | Alexandria via LeMat-Bulk | PBE | relaxed; total magnetization = 0.81 μB per atom; Fermi-level density of states = 3.42 states/eV/f.u.; volume = 132.8 Å³/f.u.
1.0
0.000 4.049 4.049
4.049 0.000 4.049
4.049 4.049 0.000
Cr Ag Se
1 1 4
Direct
0.000 0.000 0.000 Cr
0.250 0.250 0.250 Ag
0.125 0.625 0.625 Se
0.625 0.125 0.625 Se
0.625 0.625 0.125 Se
0.625 0.625 0.625 Se

x:
CrAgSe4 | Alexandria via LeMat-Bulk | PBE | relaxed; total magnetization = 0.17 μB per atom; Fermi-level density of states = 1.85 states/eV/f.u.; volume = 130.5 Å³/f.u.
1.0
3.920 -5.825 0.000
3.920 5.825 0.000
-3.010 0.000 5.716
Cr Ag Se
2 2 8
Direct
0.001 0.999 0.750 Cr
0.999 0.001 0.250 Cr
0.373 0.627 0.250 Ag
0.627 0.373 0.750 Ag
0.057 0.740 0.950 Se
0.187 0.324 0.644 Se
0.260 0.943 0.550 Se
0.324 0.187 0.144 Se
0.676 0.813 0.856 Se
0.740 0.057 0.450 Se
0.813 0.676 0.356 Se
0.943 0.260 0.050 Se

Referenced to the most stable arrangement, the calculated values in kJ/mol of atoms are w 71.0; x 0.0.

w:
Sr2CrAg2 | Alexandria via LeMat-Bulk | PBE | relaxed; total magnetization = 0.96 μB per atom; Fermi-level density of states = 1.93 states/eV/f.u.; volume = 144.6 Å³/f.u.
1.0
7.950 0.000 0.000
0.000 7.950 0.000
0.000 0.000 4.577
Sr Cr Ag
4 2 4
Direct
0.175 0.325 0.000 Sr
0.325 0.825 0.000 Sr
0.675 0.175 0.000 Sr
0.825 0.675 0.000 Sr
0.000 0.000 0.500 Cr
0.500 0.500 0.500 Cr
0.129 0.629 0.500 Ag
0.371 0.129 0.500 Ag
0.629 0.871 0.500 Ag
0.871 0.371 0.500 Ag

x:
Sr2CrAg2 | Alexandria via LeMat-Bulk | PBE | relaxed; total magnetization = 0.98 μB per atom; Fermi-level density of states = 2.89 states/eV/f.u.; volume = 158.5 Å³/f.u.
1.0
6.188 0.000 0.000
0.000 6.188 0.000
0.000 0.000 8.280
Sr Cr Ag
4 2 4
Direct
0.000 0.500 0.250 Sr
0.000 0.500 0.750 Sr
0.500 0.000 0.250 Sr
0.500 0.000 0.750 Sr
0.000 0.000 0.000 Cr
0.500 0.500 0.500 Cr
0.000 0.000 0.337 Ag
0.000 0.000 0.663 Ag
0.500 0.500 0.163 Ag
0.500 0.500 0.837 Ag

Referenced to the most stable arrangement, the calculated values in kJ/mol of atoms are w 0.0; x 13.8.

w:
SrCr2Ag2 | Alexandria via LeMat-Bulk | PBE | relaxed; total magnetization = 1.78 μB per atom; Fermi-level density of states = 2.65 states/eV/f.u.; volume = 109.7 Å³/f.u.
1.0
8.150 0.000 0.000
0.000 8.150 0.000
0.000 0.000 3.304
Sr Cr Ag
2 4 4
Direct
0.000 0.000 0.000 Sr
0.500 0.500 0.000 Sr
0.145 0.355 0.500 Cr
0.355 0.855 0.500 Cr
0.645 0.145 0.500 Cr
0.855 0.645 0.500 Cr
0.143 0.643 0.000 Ag
0.357 0.143 0.000 Ag
0.643 0.857 0.000 Ag
0.857 0.357 0.000 Ag

x:
SrCr2Ag2 | Alexandria via LeMat-Bulk | PBE | relaxed; total magnetization = 0.00 μB per atom; Fermi-level density of states = 4.41 states/eV/f.u.; volume = 99.6 Å³/f.u.
1.0
3.284 0.000 0.000
0.000 3.284 0.000
0.000 0.000 18.474
Sr Cr Ag
2 4 4
Direct
0.000 0.000 0.000 Sr
0.500 0.500 0.500 Sr
0.000 0.500 0.250 Cr
0.000 0.500 0.750 Cr
0.500 0.000 0.250 Cr
0.500 0.000 0.750 Cr
0.000 0.000 0.373 Ag
0.000 0.000 0.627 Ag
0.500 0.500 0.127 Ag
0.500 0.500 0.873 Ag

Referenced to the most stable arrangement, the calculated values in kJ/mol of atoms are w 0.0; x 10.5.

w:
TaCrAg | Alexandria via LeMat-Bulk | PBE | relaxed; total magnetization = 0.75 μB per atom; Fermi-level density of states = 4.54 states/eV/f.u.; volume = 59.8 Å³/f.u.
1.0
6.206 0.000 0.000
0.000 6.206 0.000
0.000 0.000 6.206
Ta Cr Ag
4 4 4
Direct
0.000 0.000 0.000 Ta
0.000 0.500 0.500 Ta
0.500 0.000 0.500 Ta
0.500 0.500 0.000 Ta
0.250 0.250 0.750 Cr
0.250 0.750 0.250 Cr
0.750 0.250 0.250 Cr
0.750 0.750 0.750 Cr
0.250 0.250 0.250 Ag
0.250 0.750 0.750 Ag
0.750 0.250 0.750 Ag
0.750 0.750 0.250 Ag

x:
TaCrAg | Alexandria via LeMat-Bulk | PBE | relaxed; total magnetization = 0.01 μB per atom; Fermi-level density of states = 3.36 states/eV/f.u.; volume = 47.8 Å³/f.u.
1.0
4.605 0.000 0.000
-2.303 3.988 0.000
0.000 0.000 2.604
Ta Cr Ag
1 1 1
Direct
0.000 0.000 0.000 Ta
0.333 0.667 0.651 Cr
0.667 0.333 0.397 Ag

Referenced to the most stable arrangement, the calculated values in kJ/mol of atoms are w 66.2; x 0.0.

w:
TaCrAg | Alexandria via LeMat-Bulk | PBE | relaxed; total magnetization = 0.67 μB per atom; Fermi-level density of states = 4.73 states/eV/f.u.; volume = 56.7 Å³/f.u.
1.0
6.098 0.000 0.000
0.000 6.098 0.000
0.000 0.000 6.098
Ta Cr Ag
4 4 4
Direct
0.000 0.000 0.000 Ta
0.000 0.500 0.500 Ta
0.500 0.000 0.500 Ta
0.500 0.500 0.000 Ta
0.250 0.250 0.250 Cr
0.250 0.750 0.750 Cr
0.750 0.250 0.750 Cr
0.750 0.750 0.250 Cr
0.000 0.000 0.500 Ag
0.000 0.500 0.000 Ag
0.500 0.000 0.000 Ag
0.500 0.500 0.500 Ag

x:
TaCrAg | Alexandria via LeMat-Bulk | PBE | relaxed; total magnetization = 0.00 μB per atom; Fermi-level density of states = 2.51 states/eV/f.u.; volume = 49.0 Å³/f.u.
1.0
12.053 0.000 0.000
0.000 2.968 0.000
-0.440 0.000 2.740
Ta Cr Ag
2 2 2
Direct
0.000 0.000 0.000 Ta
0.500 0.500 0.000 Ta
0.353 0.000 0.235 Cr
0.853 0.500 0.235 Cr
0.188 0.500 0.632 Ag
0.688 0.000 0.632 Ag

y:
TaCrAg | Alexandria via LeMat-Bulk | PBE | relaxed; total magnetization = 0.64 μB per atom; Fermi-level density of states = 2.40 states/eV/f.u.; volume = 49.5 Å³/f.u.
1.0
3.230 0.000 0.000
0.000 3.230 0.000
0.000 0.000 9.484
Ta Cr Ag
2 2 2
Direct
0.000 0.000 0.000 Ta
0.500 0.500 0.500 Ta
0.000 0.000 0.363 Cr
0.500 0.500 0.863 Cr
0.000 0.000 0.687 Ag
0.500 0.500 0.187 Ag

z:
TaCrAg | Alexandria via LeMat-Bulk | PBE | relaxed; total magnetization = 0.10 μB per atom; Fermi-level density of states = 2.51 states/eV/f.u.; volume = 48.3 Å³/f.u.
1.0
3.268 0.000 0.000
0.000 4.465 0.000
0.000 0.000 13.250
Ta Cr Ag
4 4 4
Direct
0.000 0.000 0.000 Ta
0.000 0.500 0.500 Ta
0.500 0.000 0.500 Ta
0.500 0.500 0.000 Ta
0.000 0.000 0.648 Cr
0.000 0.500 0.148 Cr
0.500 0.000 0.148 Cr
0.500 0.500 0.648 Cr
0.000 0.000 0.317 Ag
0.000 0.500 0.817 Ag
0.500 0.000 0.817 Ag
0.500 0.500 0.317 Ag

Referenced to the most stable arrangement, the calculated values in kJ/mol of atoms are w 71.3; x 8.1; y 4.7; z 0.0.

w:
Ta3CrAg | Alexandria via LeMat-Bulk | PBE | relaxed; total magnetization = 0.00 μB per atom; Fermi-level density of states = 7.07 states/eV/f.u.; volume = 98.3 Å³/f.u.
1.0
4.615 0.000 0.000
0.000 4.615 0.000
0.000 0.000 4.615
Ta Cr Ag
3 1 1
Direct
0.000 0.000 0.500 Ta
0.000 0.500 0.000 Ta
0.500 0.000 0.000 Ta
0.000 0.000 0.000 Cr
0.500 0.500 0.500 Ag

x:
Ta3CrAg | Alexandria via LeMat-Bulk | PBE | relaxed; total magnetization = 0.63 μB per atom; Fermi-level density of states = 8.92 states/eV/f.u.; volume = 117.0 Å³/f.u.
1.0
4.891 0.000 0.000
0.000 4.891 0.000
0.000 0.000 4.891
Ta Cr Ag
3 1 1
Direct
0.000 0.000 0.500 Ta
0.000 0.500 0.000 Ta
0.500 0.000 0.000 Ta
0.500 0.500 0.500 Cr
0.000 0.000 0.000 Ag

Referenced to the most stable arrangement, the calculated values in kJ/mol of atoms are w 0.0; x 110.7.